Entry 1:
The following is a DFT calculation (PBE) of a relaxed Dy5ZnCu2 crystal.

Calculated values
Formation enthalpy at 0 K in eV/atom: -0.1723

Lattice parameters (Å, degrees): 8.420 8.420 8.420 124.69 124.69 82.06
Fractional positions:
Dy: 0.000 0.000 0.000
Dy: 0.014 0.514 0.817
Dy: 0.197 0.014 0.500
Dy: 0.303 0.803 0.817
Dy: 0.486 0.303 0.500
Dy: 0.500 0.500 0.000
Dy: 0.514 0.697 0.500
Dy: 0.697 0.197 0.183
Dy: 0.803 0.986 0.500
Dy: 0.986 0.486 0.183
Zn: 0.250 0.250 0.000
Zn: 0.750 0.750 0.000
Cu: 0.126 0.374 0.500
Cu: 0.374 0.874 0.248
Cu: 0.626 0.126 0.752
Cu: 0.874 0.626 0.500

Entry 2:
The following is a DFT calculation (PBE) of a relaxed HoGaTe2 crystal.

Calculated values
Energy relative to the elements, uncorrected in eV/atom: -0.84

Lattice parameters (Å, degrees): 8.301 8.301 8.301 29.79 29.79 29.79
Fractional positions:
Ho: 0.000 0.000 0.000
Ga: 0.167 0.167 0.167
Te: 0.588 0.588 0.588
Te: 0.747 0.747 0.747

Entry 3:
The following is a DFT calculation (PBE) of a relaxed CrSb3 crystal.

Calculated values
Energy relative to the elements, uncorrected in eV/atom: 0.33

Lattice parameters (Å, degrees): 7.913 7.913 4.289 90.00 90.00 120.00
Fractional positions:
Cr: 0.333 0.667 0.250
Cr: 0.667 0.333 0.750
Sb: 0.206 0.411 0.750
Sb: 0.206 0.794 0.750
Sb: 0.411 0.206 0.250
Sb: 0.589 0.794 0.750
Sb: 0.794 0.206 0.250
Sb: 0.794 0.589 0.250